Entry from Alexandria via LeMat-Bulk: Ac2VCuO6 after structural relaxation (PBE+U).

Output
- Fermi-level density of states (states/eV/cell) = 2.1
- total energy (eV/atom) = -7.3911

Cell lengths 3.979, 3.979, 8.049 Å; angles 90.00, 90.00, 90.00 degrees
Site moments in Bohr magnetons follow the coordinates.
Sites, in units of the cell vectors:
Ac  0.000  0.000  0.736  0.00
Ac  0.000  0.000  0.264  0.00
V  0.500  0.500  0.000  0.99
Cu  0.500  0.500  0.500  0.06
O  0.500  0.000  0.000  0.02
O  0.500  0.000  0.500  0.01
O  0.000  0.500  0.000  0.02
O  0.000  0.500  0.500  0.01
O  0.500  0.500  0.768  -0.03
O  0.500  0.500  0.232  -0.03